(1)
VASP calculation (PBE) on a geometry-optimized Sc2MnBr structure.

The space group is Fm-3m (No. 225) and the conventional cell measures 6.834, 6.834 and 6.834 Å, with angles of 90.00, 90.00 and 90.00 degrees. The inequivalent atoms are Sc at (0.250, 0.250, 0.250), Mn at (0.000, 0.000, 0.000) and Br at (0.000, 0.000, 0.500).

As for the crystal system: cubic. The value obtained for the polymorph energy (0 for the lowest one) is 2.02 eV/f.u. As for the raw total energy: -92.286 eV/cell. For the size of the total moment, the calculation gives 1.49 μB per formula unit. The energy relative to the elements, uncorrected comes out at 0.11 eV per atom.

=====

(2)
VASP calculation (PBE) on a geometry-optimized ScMnBr2 structure.

The space group is C2/m (No. 12) and the conventional cell measures 6.658, 8.880 and 3.566 Å, with angles of 90.00, 119.30 and 90.00 degrees. The inequivalent atoms are Sc at (0.000, 0.000, 0.000), Mn at (0.000, 0.500, 0.000) and Br at (0.250, 0.250, 0.000).

As for the crystal system: monoclinic. The value obtained for the polymorph energy (0 for the lowest one) is 1.60 eV/f.u. As for the raw total energy: -39.870 eV/cell. For the size of the total moment, the calculation gives 3.58 μB per formula unit. The energy relative to the elements, uncorrected comes out at -0.27 eV per atom.

=====

(3)
VASP calculation (PBE) on a geometry-optimized Sc2MnBr structure.

The space group is R-3m (No. 166, hexagonal axes) and the conventional cell measures 3.3037, 3.3037 and 26.0416 Å, with angles of 90.00, 90.00 and 120.00 degrees. The inequivalent atoms are Sc at (0.0000, 0.0000, 0.0824), Mn at (0.0000, 0.0000, 0.0000) and Br at (0.0000, 0.0000, 0.5000).

As for the crystal system: trigonal. The value obtained for the polymorph energy (0 for the lowest one) is 2.64 eV/f.u. As for the raw total energy: -67.340 eV/cell. For the size of the total moment, the calculation gives 0.00 μB per formula unit. The energy relative to the elements, uncorrected comes out at 0.26 eV per atom.